P | A plane-wave DFT calculation with PBE was carried out for a geometry-optimized HoSc2Pa structure.

Output
Symmetry = R3m
Fermi-level density of states = 7.45 states/eV/cell
Theoretical density = 7.86 g/cm³

a b c (Å): 11.148 11.148 11.148
angles (deg): 16.95 16.95 16.95
Positions (direct):
Ho: 0.000 0.000 0.000
Sc: 0.420 0.420 0.420
Sc: 0.581 0.581 0.581
Pa: 0.834 0.834 0.834

---

Q | A plane-wave DFT calculation with PBE was carried out for a geometry-optimized HoSc2Pa structure.

Output
Symmetry = Fm-3m
Fermi-level density of states = 6.56 states/eV/cell
Theoretical density = 7.71 g/cm³

a b c (Å): 5.289 5.289 5.289
angles (deg): 60.00 60.00 60.00
Positions (direct):
Ho: 0.000 0.000 0.000
Sc: 0.250 0.250 0.250
Sc: 0.750 0.750 0.750
Pa: 0.500 0.500 0.500

---

R | A plane-wave DFT calculation with PBE was carried out for a geometry-optimized HoSc2Pa structure.

Output
Symmetry = R-3m
Fermi-level density of states = 6.60 states/eV/cell
Theoretical density = 7.80 g/cm³

a b c (Å): 10.991 10.991 10.991
angles (deg): 17.39 17.39 17.39
Positions (direct):
Ho: 0.000 0.000 0.000
Sc: 0.246 0.246 0.246
Sc: 0.754 0.754 0.754
Pa: 0.500 0.500 0.500

---

Which of them is the most stable? Correct choice: P.

---

P | A plane-wave DFT calculation with PBE was carried out for a geometry-optimized HoSc2Pa structure.

Output
Symmetry = P4/mmm
Fermi-level density of states = 7.87 states/eV/cell
Theoretical density = 7.73 g/cm³

a b c (Å): 3.309 3.309 9.537
angles (deg): 90.00 90.00 90.00
Positions (direct):
Ho: 0.000 0.000 0.000
Sc: 0.500 0.500 0.265
Sc: 0.500 0.500 0.735
Pa: 0.000 0.000 0.500

---

Q | A plane-wave DFT calculation with PBE was carried out for a geometry-optimized HoSc2Pa structure.

Output
Symmetry = P4/mmm
Fermi-level density of states = 3.70 states/eV/cell
Theoretical density = 7.82 g/cm³

a b c (Å): 4.699 4.699 4.672
angles (deg): 90.00 90.00 90.00
Positions (direct):
Ho: 0.000 0.000 0.000
Sc: 0.000 0.500 0.500
Sc: 0.500 0.000 0.500
Pa: 0.500 0.500 0.000

---

Which of them is the most stable? Correct choice: P.

---

P | A plane-wave DFT calculation with PBE was carried out for a geometry-optimized HoScPa structure.

Output
Symmetry = I4mm
Fermi-level density of states = 5.66 states/eV/cell
Theoretical density = 9.17 g/cm³

a b c (Å): 7.693 7.693 7.693
angles (deg): 155.23 155.23 35.32
Positions (direct):
Ho: 0.000 0.000 0.000
Sc: 0.321 0.321 0.000
Pa: 0.666 0.666 0.000

---

Q | A plane-wave DFT calculation with PBE was carried out for a geometry-optimized HoScPa structure.

Output
Symmetry = P3m1
Fermi-level density of states = 4.04 states/eV/cell
Theoretical density = 9.25 g/cm³

a b c (Å): 3.337 3.337 8.203
angles (deg): 90.00 90.00 120.00
Positions (direct):
Ho: 0.000 0.000 0.000
Sc: 0.333 0.667 0.649
Pa: 0.667 0.333 0.334

---

Which of them is the most stable? Correct choice: Q.

---

P | A plane-wave DFT calculation with PBE was carried out for a geometry-optimized Ho3PaSe6 structure.

Output
Symmetry = Cmc2_1
Fermi-level density of states = 11.54 states/eV/cell
Theoretical density = 7.31 g/cm³

a b c (Å): 8.864 8.864 7.102
angles (deg): 90.00 90.00 102.43
Positions (direct):
Ho: 0.094 0.906 0.500
Ho: 0.208 0.413 0.397
Ho: 0.413 0.208 0.897
Ho: 0.587 0.792 0.397
Ho: 0.792 0.587 0.897
Ho: 0.906 0.094 0.000
Pa: 0.335 0.665 0.881
Pa: 0.665 0.335 0.381
Se: 0.060 0.599 0.670
Se: 0.130 0.199 0.705
Se: 0.199 0.130 0.205
Se: 0.271 0.729 0.257
Se: 0.401 0.940 0.670
Se: 0.491 0.509 0.619
Se: 0.509 0.491 0.119
Se: 0.599 0.060 0.170
Se: 0.729 0.271 0.757
Se: 0.801 0.870 0.705
Se: 0.870 0.801 0.205
Se: 0.940 0.401 0.170

---

Q | A plane-wave DFT calculation with PBE was carried out for a geometry-optimized Ho3PaSe6 structure.

Output
Symmetry = P2_1/m
Fermi-level density of states = 11.22 states/eV/cell
Theoretical density = 7.63 g/cm³

a b c (Å): 11.512 4.050 11.799
angles (deg): 90.00 108.31 90.00
Positions (direct):
Ho: 0.071 0.250 0.165
Ho: 0.179 0.750 0.501
Ho: 0.342 0.250 0.920
Ho: 0.658 0.750 0.080
Ho: 0.821 0.250 0.499
Ho: 0.929 0.750 0.835
Pa: 0.454 0.250 0.303
Pa: 0.546 0.750 0.697
Se: 0.018 0.250 0.382
Se: 0.104 0.250 0.934
Se: 0.247 0.750 0.277
Se: 0.307 0.750 0.748
Se: 0.386 0.250 0.535
Se: 0.417 0.750 0.099
Se: 0.583 0.250 0.901
Se: 0.614 0.750 0.465
Se: 0.693 0.250 0.252
Se: 0.753 0.250 0.723
Se: 0.896 0.750 0.066
Se: 0.982 0.750 0.618

---

Which of them is the most stable? Correct choice: Q.

---

P | A plane-wave DFT calculation with PBE was carried out for a geometry-optimized HoPa2Se6 structure.

Output
Symmetry = C2/m
Fermi-level density of states = 7.82 states/eV/cell
Theoretical density = 5.89 g/cm³

a b c (Å): 9.310 9.310 8.447
angles (deg): 103.82 103.82 25.90
Positions (direct):
Ho: 0.000 0.000 0.000
Pa: 0.336 0.336 0.675
Pa: 0.664 0.664 0.325
Se: 0.164 0.164 0.100
Se: 0.173 0.173 0.560
Se: 0.492 0.492 0.764
Se: 0.508 0.508 0.236
Se: 0.827 0.827 0.440
Se: 0.836 0.836 0.900

---

Q | A plane-wave DFT calculation with PBE was carried out for a geometry-optimized HoPa2Se6 structure.

Output
Symmetry = P4_2/mnm
Fermi-level density of states = 13.93 states/eV/cell
Theoretical density = 6.48 g/cm³

a b c (Å): 6.675 6.675 12.661
angles (deg): 90.00 90.00 90.00
Positions (direct):
Ho: 0.000 0.000 0.000
Ho: 0.500 0.500 0.500
Pa: 0.000 0.000 0.333
Pa: 0.000 0.000 0.667
Pa: 0.500 0.500 0.167
Pa: 0.500 0.500 0.833
Se: 0.195 0.195 0.500
Se: 0.199 0.199 0.168
Se: 0.199 0.199 0.832
Se: 0.301 0.699 0.332
Se: 0.301 0.699 0.668
Se: 0.305 0.695 0.000
Se: 0.695 0.305 0.000
Se: 0.699 0.301 0.332
Se: 0.699 0.301 0.668
Se: 0.801 0.801 0.168
Se: 0.801 0.801 0.832
Se: 0.805 0.805 0.500

---

Which of them is the most stable? Correct choice: P.

---

P | A plane-wave DFT calculation with PBE was carried out for a geometry-optimized HoPaSe3 structure.

Output
Symmetry = P2_1/m
Fermi-level density of states = 11.51 states/eV/cell
Theoretical density = 7.09 g/cm³

a b c (Å): 7.119 4.084 10.402
angles (deg): 90.00 101.65 90.00
Positions (direct):
Ho: 0.236 0.250 0.482
Ho: 0.764 0.750 0.518
Pa: 0.359 0.250 0.843
Pa: 0.641 0.750 0.157
Se: 0.018 0.750 0.335
Se: 0.259 0.750 0.006
Se: 0.446 0.750 0.654
Se: 0.554 0.250 0.346
Se: 0.741 0.250 0.994
Se: 0.982 0.250 0.665

---

Q | A plane-wave DFT calculation with PBE was carried out for a geometry-optimized HoPaSe3 structure.

Output
Symmetry = P6_3mc
Fermi-level density of states = 11.77 states/eV/cell
Theoretical density = 7.02 g/cm³

a b c (Å): 4.079 4.079 20.783
angles (deg): 90.00 90.00 120.00
Positions (direct):
Ho: 0.000 0.000 0.000
Ho: 0.000 0.000 0.500
Pa: 0.333 0.667 0.323
Pa: 0.667 0.333 0.823
Se: 0.000 0.000 0.247
Se: 0.000 0.000 0.747
Se: 0.333 0.667 0.568
Se: 0.333 0.667 0.911
Se: 0.667 0.333 0.068
Se: 0.667 0.333 0.411

---

Which of them is the most stable? Correct choice: P.